[1]
Compound: CaSiS2F
Source: Alexandria via LeMat-Bulk
Functional: PBEsol
Structure: relaxed

Results
Total magnetic moment (μB per cell): 0.0
DOS(E_F) (states/eV/f.u.): 0.6
Formation energy without anion corrections (meV per atom): -1564
Final energy (eV for the cell shown): -26.4

Unit cell a=3.8553 b=4.6890 c=4.6890 alpha=90.00 beta=90.00 gamma=90.00
Positions (direct):
Si (0.0000, 0.0000, 0.0000)
Ca (0.5000, 0.5000, 0.5000)
S (0.0000, 0.5000, 0.0000)
S (0.0000, 0.0000, 0.5000)
F (0.5000, 0.0000, 0.0000)

***

[2]
Compound: Be4ReTc
Source: Alexandria via LeMat-Bulk
Functional: PBEsol
Structure: relaxed

Results
Total magnetic moment (μB per cell): 0.0
E_form (meV per atom): -372
DOS(E_F) (states/eV/f.u.): 2.1
Final energy (eV for the cell shown): -42.8

Unit cell a=4.3330 b=4.3330 c=4.3330 alpha=60.00 beta=60.00 gamma=60.00
Positions (direct):
Be (0.6242, 0.1274, 0.6242)
Be (0.1274, 0.6242, 0.6242)
Be (0.6242, 0.6242, 0.1274)
Tc (0.0000, 0.0000, 0.0000)
Be (0.6242, 0.6242, 0.6242)
Re (0.2500, 0.2500, 0.2500)

***

[3]
Compound: CuIr2
Source: Alexandria via LeMat-Bulk
Functional: PBEsol
Structure: relaxed

Results
Total magnetic moment (μB per cell): 0.0
E_form (meV per atom): 151
E above lowest polymorph (eV/atom): 0.0726
DOS(E_F) (states/eV/f.u.): 2.6
Final energy (eV for the cell shown): -47.1

Unit cell a=3.7458 b=3.7571 c=5.9667 alpha=90.00 beta=108.29 gamma=90.00
Positions (direct):
Ir (0.2459, 0.7500, 0.4917)
Cu (0.0795, 0.2500, 0.1589)
Ir (0.4169, 0.2500, 0.8339)
Cu (0.9205, 0.7500, 0.8411)
Ir (0.5831, 0.7500, 0.1661)
Ir (0.7541, 0.2500, 0.5083)

***

[4]
Compound: ZnSeBr4
Source: Alexandria via LeMat-Bulk
Functional: PBEsol
Structure: relaxed

Results
Total magnetic moment (μB per cell): 1.5
DOS(E_F) (states/eV/f.u.): 8.8
Formation energy without anion corrections (meV per atom): 800
Final energy (eV for the cell shown): -8.1

Unit cell a=6.0238 b=6.0238 c=6.0238 alpha=60.00 beta=60.00 gamma=60.00
Site moments in Bohr magnetons follow the coordinates.
Positions (direct):
Br (0.8746, 0.3751, 0.3751)  0.01
Br (0.3751, 0.8746, 0.3751)  0.01
Br (0.3751, 0.3751, 0.3751)  0.01
Br (0.3751, 0.3751, 0.8746)  0.01
Se (0.7500, 0.7500, 0.7500)  0.86
Zn (0.0000, 0.0000, 0.0000)  0.04

***

[5]
Compound: Mn3InP
Source: Alexandria via LeMat-Bulk
Functional: PBEsol
Structure: relaxed

Results
Total magnetic moment (μB per cell): 12.2
E_form (meV per atom): 1601
DOS(E_F) (states/eV/f.u.): 3.8
Final energy (eV for the cell shown): -30.1

Unit cell a=4.8718 b=4.8718 c=4.8718 alpha=90.00 beta=90.00 gamma=90.00
Site moments in Bohr magnetons follow the coordinates.
Positions (direct):
Mn (0.5000, 0.0000, 0.0000)  3.94
Mn (0.0000, 0.0000, 0.5000)  3.94
P (0.5000, 0.5000, 0.5000)  -0.12
Mn (0.0000, 0.5000, 0.0000)  3.94
In (0.0000, 0.0000, 0.0000)  -0.18

***

[6]
Compound: Y3Zr
Source: Alexandria via LeMat-Bulk
Functional: PBEsol
Structure: relaxed

Results
Total magnetic moment (μB per cell): 0.0
E_form (meV per atom): 92
E above lowest polymorph (eV/atom): 0.0148
DOS(E_F) (states/eV/f.u.): 5.6
Final energy (eV for the cell shown): -29.2

Unit cell a=3.3946 b=3.3946 c=11.3376 alpha=81.39 beta=81.39 gamma=60.00
Positions (direct):
Y (0.7451, 0.7451, 0.7647)
Zr (0.0000, 0.0000, 0.0000)
Y (0.2549, 0.2549, 0.2353)
Y (0.5000, 0.5000, 0.5000)

***

[7]
Compound: NiAs3Cl
Source: Alexandria via LeMat-Bulk
Functional: PBEsol
Structure: relaxed

Results
Total magnetic moment (μB per cell): 0.1
DOS(E_F) (states/eV/f.u.): 8.2
Formation energy without anion corrections (meV per atom): 459
Final energy (eV for the cell shown): -21.2

Unit cell a=4.5957 b=4.5957 c=4.5957 alpha=90.00 beta=90.00 gamma=90.00
Positions (direct):
As (0.0000, 0.5000, 0.0000)
As (0.5000, 0.0000, 0.0000)
Ni (0.0000, 0.0000, 0.0000)
As (0.0000, 0.0000, 0.5000)
Cl (0.5000, 0.5000, 0.5000)

***

[8]
Compound: Zn3In
Source: Alexandria via LeMat-Bulk
Functional: PBEsol
Structure: relaxed

Results
Total magnetic moment (μB per cell): 0.0
E_form (meV per atom): 95
DOS(E_F) (states/eV/f.u.): 1.2
Final energy (eV for the cell shown): -7.3

Unit cell a=2.8931 b=2.8931 c=8.0899 alpha=90.00 beta=90.00 gamma=90.00
Positions (direct):
Zn (0.5000, 0.5000, 0.7148)
In (0.0000, 0.0000, 0.0000)
Zn (0.5000, 0.5000, 0.2852)
Zn (0.0000, 0.0000, 0.5000)

***

[9]
Compound: LaRh2Au
Source: Alexandria via LeMat-Bulk
Functional: PBEsol
Structure: relaxed

Results
Total magnetic moment (μB per cell): 0.0
E_form (meV per atom): -429
DOS(E_F) (states/eV/f.u.): 5.4
Final energy (eV for the cell shown): -27.3

Unit cell a=3.9097 b=4.2608 c=4.2608 alpha=90.00 beta=90.00 gamma=90.00
Positions (direct):
Rh (0.0000, 0.5000, 0.0000)
Au (0.5000, 0.0000, 0.0000)
Rh (0.0000, 0.0000, 0.5000)
La (0.5000, 0.5000, 0.5000)

***

[10]
Compound: Sc2InRh
Source: Alexandria via LeMat-Bulk
Functional: PBEsol
Structure: relaxed

Results
Total magnetic moment (μB per cell): 0.0
E_form (meV per atom): -731
DOS(E_F) (states/eV/f.u.): 2.4
Final energy (eV for the cell shown): -27.3

Unit cell a=3.1901 b=3.2422 c=7.3141 alpha=90.00 beta=90.00 gamma=90.00
Positions (direct):
Rh (0.5000, 0.5000, 0.0000)
Sc (0.0000, 0.0000, 0.2146)
Sc (0.0000, 0.0000, 0.7854)
In (0.5000, 0.5000, 0.5000)

***

[11]
Compound: Zn2AgAu
Source: Alexandria via LeMat-Bulk
Functional: PBEsol
Structure: relaxed

Results
Total magnetic moment (μB per cell): 0.0
E_form (meV per atom): -112
E above lowest polymorph (eV/atom): 0.0576
DOS(E_F) (states/eV/f.u.): 1.2
Final energy (eV for the cell shown): -10.8

Unit cell a=2.8197 b=3.9086 c=5.5665 alpha=90.00 beta=90.00 gamma=90.00
Positions (direct):
Zn (0.5000, 0.5000, 0.2569)
Au (0.5000, 0.5000, 0.7720)
Ag (0.0000, 0.0000, 0.4782)
Zn (0.0000, 0.0000, 0.9929)

***

[12]
Compound: NaCa3Os
Source: Alexandria via LeMat-Bulk
Functional: PBEsol
Structure: relaxed

Results
Total magnetic moment (μB per cell): 0.9
E_form (meV per atom): 1522
DOS(E_F) (states/eV/f.u.): 4.5
Final energy (eV for the cell shown): -12.4

Unit cell a=5.3271 b=5.3271 c=5.3271 alpha=90.00 beta=90.00 gamma=90.00
Site moments in Bohr magnetons follow the coordinates.
Positions (direct):
Ca (0.5000, 0.0000, 0.0000)  -0.04
Os (0.5000, 0.5000, 0.5000)  1.20
Na (0.0000, 0.0000, 0.0000)  0.00
Ca (0.0000, 0.0000, 0.5000)  -0.04
Ca (0.0000, 0.5000, 0.0000)  -0.04

***

[13]
Compound: YCdTc
Source: Alexandria via LeMat-Bulk
Functional: PBEsol
Structure: relaxed

Results
Total magnetic moment (μB per cell): 1.6
E_form (meV per atom): 1150
E above lowest polymorph (eV/atom): 0.8750
DOS(E_F) (states/eV/f.u.): 8.0
Final energy (eV for the cell shown): -15.8

Unit cell a=4.6859 b=4.6859 c=4.6859 alpha=60.00 beta=60.00 gamma=60.00
Site moments in Bohr magnetons follow the coordinates.
Positions (direct):
Tc (0.5000, 0.5000, 0.5000)  1.41
Cd (0.0000, 0.0000, 0.0000)  -0.01
Y (0.2500, 0.2500, 0.2500)  0.10

***

[14]
Compound: Li3GdBi2
Source: Alexandria via LeMat-Bulk
Functional: PBEsol
Structure: relaxed

Results
Total magnetic moment (μB per cell): 7.0
E_form (meV per atom): -715
DOS(E_F) (states/eV/f.u.): 2.2
Final energy (eV for the cell shown): -33.2

Unit cell a=4.6222 b=4.6222 c=7.2306 alpha=90.00 beta=90.00 gamma=120.00
Site moments in Bohr magnetons follow the coordinates.
Positions (direct):
Bi (0.6667, 0.3333, 0.7538)  -0.03
Li (0.3333, 0.6667, 0.6510)  0.00
Bi (0.3333, 0.6667, 0.2462)  -0.03
Gd (0.0000, 0.0000, 0.0000)  6.92
Li (0.6667, 0.3333, 0.3490)  0.00
Li (0.0000, 0.0000, 0.5000)  0.00

***

[15]
Compound: FeAs2W
Source: Alexandria via LeMat-Bulk
Functional: PBEsol
Structure: relaxed

Results
Total magnetic moment (μB per cell): 0.0
E_form (meV per atom): 68
DOS(E_F) (states/eV/f.u.): 3.4
Final energy (eV for the cell shown): -32.7

Unit cell a=3.2508 b=3.2989 c=5.8756 alpha=106.30 beta=106.06 gamma=90.00
Positions (direct):
Fe (0.5369, 0.5369, 0.0739)
W (0.7951, 0.2951, 0.5901)
As (0.1976, 0.6976, 0.3951)
As (0.9704, 0.9704, 0.9409)

***

[16]
Compound: CrIrOsF2
Source: Alexandria via LeMat-Bulk
Functional: PBEsol
Structure: relaxed

Results
Total magnetic moment (μB per cell): 3.9
DOS(E_F) (states/eV/f.u.): 4.3
Formation energy without anion corrections (meV per atom): 306
Final energy (eV for the cell shown): -34.6

Unit cell a=3.9054 b=3.9054 c=5.0001 alpha=90.00 beta=90.00 gamma=90.00
Site moments in Bohr magnetons follow the coordinates.
Positions (direct):
Ir (0.0000, 0.0000, 0.5000)  -0.29
Os (0.0000, 0.0000, 0.0000)  -0.04
Cr (0.5000, 0.5000, 0.5000)  3.70
F (0.5000, 0.0000, 0.0000)  0.01
F (0.0000, 0.5000, 0.0000)  0.01

***

[17]
Compound: Ho2TeO6
Source: Alexandria via LeMat-Bulk
Functional: PBEsol
Structure: relaxed

Results
Total magnetic moment (μB per cell): 0.0
E above lowest polymorph (eV/atom): 0.0000
DOS(E_F) (states/eV/f.u.): 0.0
Formation energy without anion corrections (meV per atom): -2624
Final energy (eV for the cell shown): -274.1

Unit cell a=5.2274 b=8.9992 c=9.8559 alpha=90.00 beta=90.00 gamma=90.00
Positions (direct):
O (0.1699, 0.5515, 0.1984)
O (0.3301, 0.4485, 0.6984)
Ho (0.0208, 0.3968, 0.0364)
O (0.8234, 0.3586, 0.8206)
Ho (0.9597, 0.7824, 0.8670)
O (0.6881, 0.6427, 0.7358)
O (0.2654, 0.6141, 0.9317)
O (0.7346, 0.1141, 0.5683)
O (0.7462, 0.5877, 0.9947)
O (0.0841, 0.6562, 0.4730)
O (0.2346, 0.3859, 0.4317)
Te (0.5396, 0.4947, 0.8508)
O (0.1881, 0.8573, 0.2642)
O (0.2462, 0.9123, 0.0053)
O (0.8119, 0.3573, 0.2358)
O (0.7538, 0.4123, 0.4947)
O (0.3234, 0.1414, 0.1794)
O (0.9159, 0.1562, 0.0270)
Te (0.0396, 0.0053, 0.1492)
O (0.1766, 0.8586, 0.6794)
Ho (0.0403, 0.2824, 0.6330)
Ho (0.5208, 0.1032, 0.9636)
O (0.2538, 0.0877, 0.5053)
Te (0.9604, 0.5053, 0.3508)
Ho (0.4792, 0.6032, 0.5364)
O (0.3119, 0.1427, 0.7642)
O (0.6766, 0.6414, 0.3206)
Ho (0.5403, 0.2176, 0.3670)
O (0.7654, 0.8859, 0.0683)
O (0.4159, 0.3438, 0.9730)
O (0.8301, 0.0515, 0.3016)
Ho (0.9792, 0.8968, 0.4636)
Ho (0.4597, 0.7176, 0.1330)
Te (0.4604, 0.9947, 0.6492)
O (0.5841, 0.8438, 0.5270)
O (0.6699, 0.9485, 0.8016)

***

[18]
Compound: AuSe2Br
Source: Alexandria via LeMat-Bulk
Functional: PBEsol
Structure: relaxed

Results
Total magnetic moment (μB per cell): 0.0
DOS(E_F) (states/eV/f.u.): 0.1
Formation energy without anion corrections (meV per atom): -75
Final energy (eV for the cell shown): -13.8

Unit cell a=3.7359 b=4.2398 c=7.0107 alpha=99.80 beta=90.00 gamma=116.14
Positions (direct):
Se (0.6566, 0.3132, 0.6986)
Se (0.3434, 0.6868, 0.3014)
Au (0.0000, 0.0000, 0.5000)
Br (0.5000, 0.0000, 0.0000)

***

[19]
Compound: LiTi3Mn
Source: Alexandria via LeMat-Bulk
Functional: PBEsol
Structure: relaxed

Results
Total magnetic moment (μB per cell): 3.8
E_form (meV per atom): 1102
DOS(E_F) (states/eV/f.u.): 9.2
Final energy (eV for the cell shown): -31.2

Unit cell a=4.3247 b=4.3247 c=4.3247 alpha=90.00 beta=90.00 gamma=90.00
Site moments in Bohr magnetons follow the coordinates.
Positions (direct):
Li (0.0000, 0.0000, 0.0000)  0.03
Mn (0.5000, 0.5000, 0.5000)  3.68
Ti (0.0000, 0.0000, 0.5000)  -0.03
Ti (0.5000, 0.0000, 0.0000)  -0.03
Ti (0.0000, 0.5000, 0.0000)  -0.03

***

[20]
Compound: FeTcAs2Pd
Source: Alexandria via LeMat-Bulk
Functional: PBEsol
Structure: relaxed

Results
Total magnetic moment (μB per cell): 6.4
E_form (meV per atom): 1523
DOS(E_F) (states/eV/f.u.): 5.5
Final energy (eV for the cell shown): -28.8

Unit cell a=4.6155 b=4.6155 c=4.9706 alpha=90.00 beta=90.00 gamma=90.00
Site moments in Bohr magnetons follow the coordinates.
Positions (direct):
As (0.0000, 0.5000, 0.0000)  -0.04
As (0.5000, 0.0000, 0.0000)  -0.04
Pd (0.0000, 0.0000, 0.0000)  0.14
Fe (0.5000, 0.5000, 0.5000)  3.30
Tc (0.0000, 0.0000, 0.5000)  2.75